DFT (GGA-PBE) results for crystalline GaSOF2 at its relaxed geometry.

## Properties
Raw formation energy = -4.620 eV/f.u.
Space-group type = P4/mmm
Relative energy among the computed polymorphs = 0 meV per atom
Calculated total energy = -20.5 eV per cell

Lattice parameters (Å, degrees): 4.0919 4.0919 3.7663 90.00 90.00 90.00
Positions (direct):
F  0.0000  0.5000  0.0000
F  0.5000  0.0000  0.0000
O  0.0000  0.0000  0.5000
S  0.5000  0.5000  0.5000
Ga  0.0000  0.0000  0.0000